a) KTlSe2 | GGA-PBE | relaxed

a = 5.8842 Å, b = 5.8842 Å, c = 5.8842 Å
α = 131.60°, β = 131.60°, γ = 70.87°
With the nearest neighbours (Å) after each atom.
Fractional coordinates of all 4 atoms:
K  0.0000  0.0000  0.0000  8 Se 3.40, 4 Tl 3.41
Tl  0.5000  0.5000  0.0000  8 Se 3.40, 4 K 3.41
Se  0.2500  0.7500  0.5000  4 Tl 3.40, 4 K 3.40, 4 Se 3.41
Se  0.7500  0.2500  0.5000  4 Tl 3.40, 4 K 3.40, 4 Se 3.41


b) KTlSe2 | GGA-PBE | relaxed

a = 8.3748 Å, b = 8.3748 Å, c = 16.1635 Å
α = 98.12°, β = 98.12°, γ = 90.14°
With the nearest neighbours (Å) after each atom.
Fractional coordinates of all 32 atoms:
K  0.1535  0.7379  0.6146  7 Se 3.32-3.66
K  0.2584  0.3385  0.8758  7 Se 3.45-3.71
K  0.2621  0.8465  0.8854  7 Se 3.32-3.66
K  0.3385  0.2584  0.3758  7 Se 3.45-3.71
K  0.6615  0.7416  0.6242  7 Se 3.45-3.71
K  0.7379  0.1535  0.1146  7 Se 3.32-3.66
K  0.7416  0.6615  0.1242  7 Se 3.45-3.71
K  0.8465  0.2621  0.3854  7 Se 3.32-3.66
Tl  0.0812  0.7127  0.3418  4 Se 2.68-2.74
Tl  0.2839  0.4194  0.1504  4 Se 2.67-2.71
Tl  0.2873  0.9188  0.1582  4 Se 2.68-2.74
Tl  0.4194  0.2839  0.6504  4 Se 2.67-2.71
Tl  0.5806  0.7161  0.3496  4 Se 2.67-2.71
Tl  0.7127  0.0812  0.8418  4 Se 2.68-2.74
Tl  0.7161  0.5806  0.8496  4 Se 2.67-2.71
Tl  0.9188  0.2873  0.6582  4 Se 2.68-2.74
Se  0.0285  0.4294  0.2328  2 Tl 2.67-2.74
Se  0.0415  0.9585  0.2500  2 Tl 2.70
Se  0.1357  0.2999  0.5507  2 Tl 2.69-2.70
Se  0.2999  0.1357  0.0507  2 Tl 2.69-2.70
Se  0.3158  0.6464  0.0523  2 Tl 2.68
Se  0.3536  0.6842  0.4477  2 Tl 2.68
Se  0.4266  0.5734  0.7500  2 Tl 2.71
Se  0.4294  0.0285  0.7328  2 Tl 2.67-2.74
Se  0.5706  0.9715  0.2672  2 Tl 2.67-2.74
Se  0.5734  0.4266  0.2500  2 Tl 2.71
Se  0.6464  0.3158  0.5523  2 Tl 2.68
Se  0.6842  0.3536  0.9477  2 Tl 2.68
Se  0.7001  0.8643  0.9493  2 Tl 2.69-2.70
Se  0.8643  0.7001  0.4493  2 Tl 2.69-2.70
Se  0.9585  0.0415  0.7500  2 Tl 2.70
Se  0.9715  0.5706  0.7672  2 Tl 2.67-2.74


Each structure's energy above the most stable one, in meV/atom: a) 293; b) 0.


a) KTlSe2 | GGA-PBE | relaxed

a = 3.4100 Å, b = 3.4100 Å, c = 10.6079 Å
α = 90.00°, β = 90.00°, γ = 90.00°
With the nearest neighbours (Å) after each atom.
Fractional coordinates of all 4 atoms:
K  0.0000  0.0000  0.0000  4 Se 3.25, 4 K 3.41
Tl  0.5000  0.5000  0.7157  4 Se 3.02
Se  0.0000  0.0000  0.5446  4 Tl 3.02
Se  0.5000  0.5000  0.2052  4 K 3.25, 4 Se 3.41


b) KTlSe2 | GGA-PBE | relaxed

a = 6.3543 Å, b = 6.3543 Å, c = 6.3543 Å
α = 138.32°, β = 138.32°, γ = 60.41°
With the nearest neighbours (Å) after each atom.
Fractional coordinates of all 4 atoms:
K  0.0000  0.0000  0.0000  8 Se 3.20-3.56, 4 Tl 3.56
Tl  0.7500  0.2500  0.5000  8 Se 3.20-3.56, 4 K 3.56
Se  0.2500  0.7500  0.5000  4 Tl 3.20, 4 Se 3.56, 4 K 3.56
Se  0.5000  0.5000  0.0000  4 K 3.20, 4 Tl 3.56, 4 Se 3.56


c) KTlSe2 | GGA-PBE | relaxed

a = 5.9439 Å, b = 6.4300 Å, c = 6.4300 Å
α = 27.24°, β = 90.00°, γ = 90.00°
With the nearest neighbours (Å) after each atom.
Fractional coordinates of all 4 atoms:
K  0.0000  0.0000  0.0000  2 K 3.03, 7 Se 3.27-3.34
Tl  0.5000  0.2439  0.2439  2 Tl 3.03, 5 Se 3.06-3.34
Se  0.0000  0.7384  0.7384  2 Se 3.03, 3 K 3.27-3.34, 4 Tl 3.34
Se  0.5000  0.4891  0.4891  2 Se 3.03, 1 Tl 3.06, 4 K 3.34


d) KTlSe2 | GGA-PBE | relaxed

a = 4.8530 Å, b = 4.8530 Å, c = 4.7301 Å
α = 90.00°, β = 90.00°, γ = 90.00°
With the nearest neighbours (Å) after each atom.
Fractional coordinates of all 4 atoms:
K  0.0000  0.0000  0.0000  8 Se 3.39, 4 Tl 3.43
Tl  0.5000  0.5000  0.0000  8 Se 3.39, 4 K 3.43
Se  0.0000  0.5000  0.5000  4 Tl 3.39, 4 K 3.39, 4 Se 3.43
Se  0.5000  0.0000  0.5000  4 Tl 3.39, 4 K 3.39, 4 Se 3.43


Each structure's energy above the most stable one, in meV/atom: a) 349; b) 164; c) 0; d) 79.


a) KTlSe2 | GGA-PBE | relaxed

a = 5.4326 Å, b = 5.4326 Å, c = 5.4326 Å
α = 60.00°, β = 60.00°, γ = 60.00°
With the nearest neighbours (Å) after each atom.
Fractional coordinates of all 4 atoms:
K  0.0000  0.0000  0.0000  4 Tl 3.33, 4 Se 3.33
Tl  0.7500  0.7500  0.7500  4 Se 3.33, 4 K 3.33
Se  0.2500  0.2500  0.2500  4 Se 3.33, 4 K 3.33
Se  0.5000  0.5000  0.5000  4 Tl 3.33, 4 Se 3.33


b) KTlSe2 | GGA-PBE | relaxed

a = 9.5013 Å, b = 9.5013 Å, c = 9.5013 Å
α = 25.91°, β = 25.91°, γ = 25.91°
With the nearest neighbours (Å) after each atom.
Fractional coordinates of all 4 atoms:
K  0.0000  0.0000  0.0000  2 Se 3.05
Tl  0.5000  0.5000  0.5000  6 Se 2.90
Se  0.1107  0.1107  0.1107  3 Tl 2.90, 1 K 3.05
Se  0.8893  0.8893  0.8893  3 Tl 2.90, 1 K 3.05


c) KTlSe2 | GGA-PBE | relaxed

a = 5.9787 Å, b = 5.9787 Å, c = 3.1035 Å
α = 90.00°, β = 90.00°, γ = 90.05°
With the nearest neighbours (Å) after each atom.
Fractional coordinates of all 4 atoms:
K  0.0000  0.0000  0.0000  2 K 3.10, 8 Se 3.37
Tl  0.5000  0.5000  0.0000  2 Tl 3.10, 8 Se 3.37
Se  0.0000  0.5000  0.5000  2 Se 3.10, 4 Tl 3.37, 4 K 3.37
Se  0.5000  0.0000  0.5000  2 Se 3.10, 4 Tl 3.37, 4 K 3.37


d) KTlSe2 | GGA-PBE | relaxed

a = 7.2768 Å, b = 7.2768 Å, c = 7.2768 Å
α = 116.13°, β = 116.13°, γ = 96.85°
With the nearest neighbours (Å) after each atom.
Fractional coordinates of all 8 atoms:
K  0.0000  0.0000  0.0000  4 Se 3.31
K  0.7500  0.2500  0.5000  4 Se 3.31
Tl  0.2500  0.7500  0.5000  4 Se 2.69
Tl  0.5000  0.5000  0.0000  4 Se 2.69
Se  0.1870  0.1250  0.5620  2 Tl 2.69
Se  0.3750  0.8130  0.9380  2 Tl 2.69
Se  0.5630  0.6250  0.4380  2 Tl 2.69
Se  0.8750  0.4370  0.0620  2 Tl 2.69


Each structure's energy above the most stable one, in meV/atom: a) 442; b) 316; c) 197; d) 0.